Entry 1:
MgCd2Si | GGA-PBE | relaxed

Lattice parameters (Å, degrees): 6.2977 6.2977 2.9992 102.56 102.56 126.47
Closest atoms and distances in Å follow each position.
Fractional coordinates of all 4 atoms:
Mg: 0.0000 0.0000 0.0000  4 Si 2.84-2.97, 2 Mg 3.00, 4 Cd 3.15
Cd: 0.0000 0.5000 0.0000  6 Cd 2.84-3.00, 2 Si 3.15, 2 Mg 3.15
Cd: 0.5000 0.0000 0.0000  6 Cd 2.84-3.00, 2 Si 3.15, 2 Mg 3.15
Si: 0.5000 0.5000 0.0000  4 Mg 2.84-2.97, 2 Si 3.00, 4 Cd 3.15

The formation energy (no corrections) is 0.1618 eV/atom. For the calculated density, the calculation gives 5.5 g/cm3. As for the space-group type: C2/m (12). The total DFT energy (no corrections) is -2.05 eV/atom.

***

Entry 2:
MgCd2Si | GGA-PBE | relaxed

Lattice parameters (Å, degrees): 5.1828 5.1828 3.3207 90.00 90.00 111.94
Closest atoms and distances in Å follow each position.
Fractional coordinates of all 4 atoms:
Mg: 0.0000 0.0000 0.0000  2 Si 2.90, 8 Cd 3.08
Cd: 0.0000 0.5000 0.5000  2 Cd 2.90, 4 Mg 3.08, 4 Si 3.08
Cd: 0.5000 0.0000 0.5000  2 Cd 2.90, 4 Mg 3.08, 4 Si 3.08
Si: 0.5000 0.5000 0.0000  2 Mg 2.90, 8 Cd 3.08

The formation energy (no corrections) is 0.1601 eV/atom. For the calculated density, the calculation gives 5.6 g/cm3. As for the space-group type: Cmmm (65). The total DFT energy (no corrections) is -2.05 eV/atom.

***

Entry 3:
Mg2CdSi | GGA-PBE | relaxed

Lattice parameters (Å, degrees): 4.7321 4.7321 5.8441 101.45 101.45 40.25
Closest atoms and distances in Å follow each position.
Fractional coordinates of all 4 atoms:
Mg: 0.2414 0.2414 0.2341  3 Si 2.81-2.91, 3 Cd 2.90-2.97
Mg: 0.7586 0.7586 0.7659  3 Si 2.81-2.91, 3 Cd 2.90-2.97
Cd: 0.0000 0.0000 0.5000  6 Mg 2.90-2.97
Si: 0.5000 0.5000 0.0000  6 Mg 2.81-2.91

The formation energy (no corrections) is 0.0788 eV/atom. For the calculated density, the calculation gives 3.8 g/cm3. As for the space-group type: C2/m (12). The total DFT energy (no corrections) is -2.30 eV/atom.

***

Entry 4:
MgCd2Si2 | GGA-PBE | relaxed

Lattice parameters (Å, degrees): 6.9837 6.9837 4.2111 90.00 90.00 90.00
Closest atoms and distances in Å follow each position.
Fractional coordinates of all 10 atoms:
Mg: 0.0000 0.0000 0.0000  4 Si 2.79
Mg: 0.5000 0.5000 0.0000  4 Si 2.79
Cd: 0.1885 0.3115 0.5000  6 Si 2.84-3.05
Cd: 0.3115 0.8115 0.5000  6 Si 2.84-3.05
Cd: 0.6885 0.1885 0.5000  6 Si 2.84-3.05
Cd: 0.8115 0.6885 0.5000  6 Si 2.84-3.05
Si: 0.1190 0.6190 0.0000  1 Si 2.35
Si: 0.3810 0.1190 0.0000  1 Si 2.35
Si: 0.6190 0.8810 0.0000  1 Si 2.35
Si: 0.8810 0.3810 0.0000  1 Si 2.35

The formation energy (no corrections) is 0.1994 eV/atom. For the calculated density, the calculation gives 4.9 g/cm3. As for the space-group type: P4/mbm (127). The total DFT energy (no corrections) is -2.65 eV/atom.

***

Entry 5:
MgCd2Si2 | GGA-PBE | relaxed

Lattice parameters (Å, degrees): 9.1353 9.1353 9.1353 158.27 158.27 30.92
Closest atoms and distances in Å follow each position.
Fractional coordinates of all 5 atoms:
Mg: 0.0000 0.0000 0.0000  8 Cd 3.10, 4 Mg 3.44
Cd: 0.3913 0.3913 0.0000  4 Si 3.03, 4 Mg 3.10
Cd: 0.6087 0.6087 0.0000  4 Si 3.03, 4 Mg 3.10
Si: 0.2500 0.7500 0.5000  4 Si 2.43
Si: 0.7500 0.2500 0.5000  4 Si 2.43

The formation energy (no corrections) is 0.1930 eV/atom. For the calculated density, the calculation gives 4.9 g/cm3. As for the space-group type: I4/mmm (139). The total DFT energy (no corrections) is -2.66 eV/atom.

***

Entry 6:
MgCd2Si2 | GGA-PBE | relaxed

Lattice parameters (Å, degrees): 8.1555 8.1555 3.1287 90.00 90.00 90.00
Closest atoms and distances in Å follow each position.
Fractional coordinates of all 10 atoms:
Mg: 0.0000 0.0000 0.0000  2 Mg 3.13, 4 Cd 3.19, 8 Si 3.41
Mg: 0.5000 0.5000 0.0000  2 Mg 3.13, 4 Cd 3.19, 8 Si 3.41
Cd: 0.1322 0.3678 0.0000  6 Si 2.78-2.92, 1 Cd 3.05
Cd: 0.3678 0.8678 0.0000  6 Si 2.78-2.92, 1 Cd 3.05
Cd: 0.6322 0.1322 0.0000  6 Si 2.78-2.92, 1 Cd 3.05
Cd: 0.8678 0.6322 0.0000  6 Si 2.78-2.92, 1 Cd 3.05
Si: 0.1682 0.6682 0.5000  6 Cd 2.78-2.92
Si: 0.3318 0.1682 0.5000  6 Cd 2.78-2.92
Si: 0.6682 0.8318 0.5000  6 Cd 2.78-2.92
Si: 0.8318 0.3318 0.5000  6 Cd 2.78-2.92

The formation energy (no corrections) is 0.3894 eV/atom. For the calculated density, the calculation gives 4.9 g/cm3. As for the space-group type: P4/mbm (127). The total DFT energy (no corrections) is -2.46 eV/atom.

***

Entry 7:
Mg2CdSi | GGA-PBE | relaxed

Lattice parameters (Å, degrees): 5.6447 5.6447 4.9046 105.02 105.02 32.36
Closest atoms and distances in Å follow each position.
Fractional coordinates of all 4 atoms:
Mg: 0.0000 0.0000 0.0000  4 Si 2.87-2.98, 3 Cd 2.95-3.12, 2 Mg 3.15
Mg: 0.2136 0.2136 0.6422  3 Si 2.93-3.11, 4 Cd 2.94-2.96, 3 Mg 3.15-3.26
Cd: 0.7580 0.7580 0.1671  2 Si 2.94, 7 Mg 2.94-3.12, 2 Cd 3.15
Si: 0.4765 0.4765 0.4999  7 Mg 2.87-3.11, 2 Cd 2.94, 2 Si 3.15

The formation energy (no corrections) is 0.0429 eV/atom. For the calculated density, the calculation gives 3.9 g/cm3. As for the space-group type: Cm (8). The total DFT energy (no corrections) is -2.34 eV/atom.

***

Entry 8:
MgCd2Si2 | GGA-PBE | relaxed

Lattice parameters (Å, degrees): 6.3703 6.3703 6.3703 139.62 139.62 58.42
Closest atoms and distances in Å follow each position.
Fractional coordinates of all 5 atoms:
Mg: 0.0000 0.0000 0.0000  8 Si 3.31, 8 Cd 3.54
Cd: 0.2500 0.7500 0.5000  4 Si 2.74
Cd: 0.7500 0.2500 0.5000  4 Si 2.74
Si: 0.3967 0.3967 0.0000  1 Si 2.30
Si: 0.6033 0.6033 0.0000  1 Si 2.30

The formation energy (no corrections) is 0.2322 eV/atom. For the calculated density, the calculation gives 4.7 g/cm3. As for the space-group type: I4/mmm (139). The total DFT energy (no corrections) is -2.62 eV/atom.

***

Number 1: magnetization 0.000 μB per formula unit. Number 2: magnetization 0.000 μB per formula unit. Number 3: magnetization 0.000 μB per formula unit. Number 4: magnetization 0.000 μB per formula unit. Number 5: magnetization 0.000 μB per formula unit. Number 6: magnetization 0.000 μB per formula unit. Number 7: magnetization 0.000 μB per formula unit. Number 8: magnetization 0.000 μB per formula unit.